Entry 1:
## KGaP2Cl (PBE-GGA)

Data for a relaxed structure of KGaP2Cl.

The structure in extended XYZ format:
```
5
Lattice="4.686 0.000 0.000 0.000 4.686 0.000 0.000 0.000 6.100" Properties=species:S:1:pos:R:3 pbc="T T T"
P 0.000 2.343 0.000
P 2.343 0.000 0.000
K 2.343 2.343 3.050
Ga 0.000 0.000 0.000
Cl 0.000 0.000 3.050
```

## Properties
* symmetry: No. 123
* offset from the most stable computed form: 0 meV per atom
* formation energy from raw total energies: -50 meV/atom

Entry 2:
## SrTi2I (PBE-GGA)

Data for a relaxed structure of SrTi2I.

The structure in extended XYZ format:
```
8
Lattice="-0.203 -1.874 4.333 4.671 0.550 0.456 0.721 8.845 6.435" Properties=species:S:1:pos:R:3 pbc="T T T"
I 0.000 0.000 0.000
I 1.376 3.155 6.581
Sr 2.234 -0.662 2.395
Sr 3.813 4.366 4.643
Ti 0.586 0.640 5.458
Ti 2.922 0.916 5.684
Ti 1.047 6.000 6.508
Ti 0.948 5.063 8.675
```

## Properties
* symmetry: No. 141
* offset from the most stable computed form: 0 meV per atom
* formation energy from raw total energies: 460 meV/atom

Entry 3:
## TlCdSnHg2 (PBE-GGA)

Data for a relaxed structure of TlCdSnHg2.

The structure in extended XYZ format:
```
10
Lattice="-1.802 2.488 1.600 -1.104 -5.087 6.665 8.321 5.565 0.718" Properties=species:S:1:pos:R:3 pbc="T T T"
Tl 0.919 1.207 1.032
Tl 4.496 1.758 7.952
Cd 3.126 -0.046 5.465
Cd 2.289 3.011 3.519
Sn 7.325 4.360 3.344
Sn -1.910 -1.394 5.639
Hg 0.644 -0.620 7.312
Hg 4.771 3.585 1.672
Hg 0.355 0.963 4.525
Hg 5.060 2.003 4.459
```

## Properties
* symmetry: No. 11
* E_form: 0.024 eV/atom

Entry 4:
## MgCdTc (PBE-GGA)

Data for a relaxed structure of MgCdTc.

The structure in extended XYZ format:
```
3
Lattice="4.712 0.000 0.000 -2.356 4.080 0.000 0.000 0.000 2.738" Properties=species:S:1:pos:R:3 pbc="T T T"
Cd 0.000 0.000 0.102
Mg 0.000 2.720 0.818
Tc 2.356 1.360 1.819
```

## Properties
* symmetry: No. 156
* E_form: 0.351 eV/atom
* offset from the most stable computed form: 255 meV per atom